[1]
# NaCd2Re2 PBE-GGA relaxed
# **Energy above the most stable polymorph in this dataset**: 0 meV/atom
# **Electronic total energy**: -50.283 eV for the cell shown
# **Energy of formation from the pure elements**: 2.90 eV per formula unit
data_NaCd2Re2
_symmetry_space_group_name_H-M 'I 4/m m m'
_symmetry_Int_Tables_number 139
_symmetry_space_group_name_Hall '-I 4 2'
_cell_length_a 3.6689
_cell_length_b 3.6689
_cell_length_c 14.9215
_cell_angle_alpha 90.00
_cell_angle_beta 90.00
_cell_angle_gamma 90.00
loop_
_atom_site_label
_atom_site_fract_x
_atom_site_fract_y
_atom_site_fract_z
_atom_site_occupancy
Na1 0.0000 0.0000 0.0000 1
Cd1 0.0000 0.0000 0.4011 1
Re1 0.0000 0.5000 0.2500 1

---

[2]
# Nd2Er3Tm2 PBE-GGA relaxed
# **Energy above the most stable polymorph in this dataset**: 101 meV/atom
# **Electronic total energy**: -122.273 eV for the cell shown
# **Energy of formation from the pure elements**: 1.60 eV per formula unit
data_Nd2Er3Tm2
_symmetry_space_group_name_H-M 'I 21 3'
_symmetry_Int_Tables_number 199
_symmetry_space_group_name_Hall 'I 2b 2c 3'
_cell_length_a 9.6985
_cell_length_b 9.6985
_cell_length_c 9.6985
_cell_angle_alpha 90.00
_cell_angle_beta 90.00
_cell_angle_gamma 90.00
loop_
_atom_site_label
_atom_site_fract_x
_atom_site_fract_y
_atom_site_fract_z
_atom_site_occupancy
Nd1 0.0945 0.4055 0.5945 1
Er1 0.0000 0.2500 0.9419 1
Tm1 0.2048 0.2048 0.2048 1